Material: SrCd3Sn
Method: DFT, PBE
State: optimized geometry

Results
The total DFT energy (no corrections) is -8.0 eV/cell. Its relative energy among the computed polymorphs is 2.09 eV/f.u. The calculation puts the spin magnetization at 0.00 μB/cell. The calculation puts the formation energy at 0.0945 eV per atom.

a = 5.6423 Å, b = 5.6423 Å, c = 5.6423 Å
α = 90.00°, β = 90.00°, γ = 90.00°
Last column: nearest neighbours and their distance in Å.
Space group Pm-3m (No. 221)
Symmetry-distinct sites (fractional):
Sr (0.0000, 0.0000, 0.0000) x1  12 Cd 3.99
Cd (0.0000, 0.5000, 0.5000) x3  2 Sn 2.82
Sn (0.5000, 0.5000, 0.5000) x1  6 Cd 2.82

Material: Sr2Cd7Sn
Method: DFT, PBE
State: optimized geometry

Results
The total DFT energy (no corrections) is -16.4 eV/cell. The calculation puts the spin magnetization at 0.00 μB/cell. The calculation puts the formation energy at -0.2640 eV per atom.

a = 4.6523 Å, b = 4.6523 Å, c = 12.7848 Å
α = 90.00°, β = 90.00°, γ = 90.00°
Last column: nearest neighbours and their distance in Å.
Space group P-4m2 (No. 115)
Symmetry-distinct sites (fractional):
Sr (0.0000, 0.5000, 0.2494) x2  14 Cd 3.56-3.96, 2 Sn 3.95
Cd (0.0000, 0.0000, 0.0000) x1  4 Cd 2.95, 4 Sn 3.29
Cd (0.0000, 0.0000, 0.5000) x1  4 Cd 2.93
Cd (0.0000, 0.5000, 0.6395) x2  5 Cd 2.79-2.93
Cd (0.0000, 0.5000, 0.8579) x2  3 Cd 2.79-2.95, 2 Sn 2.95
Cd (0.5000, 0.5000, 0.5000) x1  4 Cd 2.93
Sn (0.5000, 0.5000, 0.0000) x1  8 Cd 2.95-3.29

Material: Sr3Cd8Sn
Method: DFT, PBE
State: optimized geometry

Results
The total DFT energy (no corrections) is -58.4 eV/cell. The calculation puts the spin magnetization at 0.00 μB/cell. The calculation puts the formation energy at -0.2571 eV per atom.

a = 6.1607 Å, b = 6.1607 Å, c = 30.1668 Å
α = 90.00°, β = 90.00°, γ = 120.00°
Last column: nearest neighbours and their distance in Å.
Space group R3m (No. 160, hexagonal axes)
Symmetry-distinct sites (fractional):
Sr (0.0000, 0.0000, 0.0000) x3  12 Cd 3.61-3.62, 4 Sr 3.84-3.85
Sr (0.0000, 0.0000, 0.1278) x3  12 Cd 3.54-3.66, 3 Sn 3.71, 1 Sr 3.85
Sr (0.0000, 0.0000, 0.6184) x3  12 Cd 3.51-3.78, 1 Sn 3.70, 3 Sr 3.84
Cd (0.0000, 0.0000, 0.3114) x3  6 Cd 3.06-3.11
Cd (0.0000, 0.0000, 0.8126) x3  6 Cd 3.07-3.08
Cd (0.9995, 0.4998, 0.0624) x9  6 Cd 3.08-3.11
Cd (0.0005, 0.5002, 0.5624) x9  6 Cd 3.06-3.08
Sn (0.0000, 0.0000, 0.4958) x3  12 Cd 3.51-3.68, 4 Sr 3.70-3.71

Material: Sr2Cd4Sn5
Method: DFT, PBE
State: optimized geometry

Results
The total DFT energy (no corrections) is -58.5 eV/cell. The calculation puts the spin magnetization at 0.00 μB/cell. The calculation puts the formation energy at -0.2014 eV per atom.

a = 13.1013 Å, b = 6.6356 Å, c = 9.1062 Å
α = 90.00°, β = 124.90°, γ = 90.00°
Last column: nearest neighbours and their distance in Å.
Space group C2/m (No. 12)
Symmetry-distinct sites (fractional):
Sr (0.0054, 0.0000, 0.2542) x4  3 Cd 3.48-3.50, 6 Sn 3.60-3.82
Cd (0.0767, 0.5000, 0.4027) x4  3 Sn 2.99-3.20, 1 Cd 2.99
Cd (0.1877, 0.5000, 0.9184) x4  3 Sn 2.95-2.99, 1 Cd 2.99
Sn (0.0000, 0.5000, 0.0000) x2  4 Cd 2.95-3.20, 4 Sn 3.21
Sn (0.2446, 0.2286, 0.7125) x8  3 Cd 2.99-3.31, 2 Sn 3.03-3.21

Material: Sr2Cd16Sn
Method: DFT, PBE
State: optimized geometry

Results
The total DFT energy (no corrections) is -75.4 eV/cell. The calculation puts the spin magnetization at 0.00 μB/cell. The calculation puts the formation energy at -0.1652 eV per atom.

a = 10.3815 Å, b = 10.3815 Å, c = 14.9704 Å
α = 90.00°, β = 90.00°, γ = 120.00°
Last column: nearest neighbours and their distance in Å.
Space group R3m (No. 160, hexagonal axes)
Symmetry-distinct sites (fractional):
Sr (0.0000, 0.0000, 0.0000) x3  19 Cd 3.56-3.91
Sr (0.0000, 0.0000, 0.3286) x3  1 Sn 3.51, 15 Cd 3.61-3.91
Cd (0.0000, 0.0000, 0.7624) x3  1 Sn 2.99, 3 Cd 3.07
Cd (0.0155, 0.5078, 0.8168) x9  8 Cd 2.89-3.16
Cd (0.0283, 0.3606, 0.3310) x18  8 Cd 2.97-3.19
Cd (0.1727, 0.3454, 0.4989) x9  9 Cd 2.97-3.13, 1 Sn 3.25
Cd (0.1738, 0.3475, 0.8443) x9  8 Cd 2.89-3.15
Sn (0.0000, 0.0000, 0.5630) x3  4 Cd 2.99-3.25

Material: Sr3Cd3Sn8
Method: DFT, PBE
State: optimized geometry

Results
The total DFT energy (no corrections) is -87.9 eV/cell. The calculation puts the spin magnetization at 0.00 μB/cell. The calculation puts the formation energy at -0.2955 eV per atom.

a = 5.3507 Å, b = 11.1541 Å, c = 13.7968 Å
α = 90.00°, β = 90.00°, γ = 90.00°
Last column: nearest neighbours and their distance in Å.
Space group Immm (No. 71)
Symmetry-distinct sites (fractional):
Sr (0.0000, 0.0000, 0.0000) x2  12 Sn 3.64-3.79, 2 Sr 3.89
Sr (0.0000, 0.0000, 0.2821) x4  2 Cd 3.39, 10 Sn 3.71-3.72
Cd (0.0000, 0.1402, 0.5000) x4  2 Sn 3.04, 3 Cd 3.10-3.13, 2 Sr 3.39
Cd (0.0000, 0.5000, 0.0000) x2  4 Cd 3.10, 4 Sn 3.11
Sn (0.0000, 0.2874, 0.1460) x8  3 Sn 3.11-3.12, 3 Cd 3.11-3.44
Sn (0.0000, 0.3553, 0.3646) x8  1 Cd 3.04, 4 Sn 3.11-3.23

Material: SrCd3Sn
Method: DFT, PBE
State: optimized geometry

Results
The total DFT energy (no corrections) is -38.9 eV/cell. Its relative energy among the computed polymorphs is 0.33 eV/f.u. The calculation puts the spin magnetization at 0.00 μB/cell. The calculation puts the formation energy at -0.2576 eV per atom.

a = 9.2084 Å, b = 6.4098 Å, c = 10.6225 Å
α = 90.00°, β = 118.52°, γ = 90.00°
Last column: nearest neighbours and their distance in Å.
Space group P2_1/c (No. 14)
Symmetry-distinct sites (fractional):
Sr (0.2425, 0.1301, 0.2441) x4  9 Cd 3.45-3.64, 3 Sn 3.45-3.53
Cd (0.0151, 0.6600, 0.1014) x4  3 Cd 2.89-3.21, 2 Sn 2.99-3.13
Cd (0.3351, 0.5631, 0.0905) x4  1 Sn 2.93, 4 Cd 2.95-3.21
Cd (0.4872, 0.6750, 0.3971) x4  3 Cd 2.95-3.06, 2 Sn 3.00-3.15
Sn (0.1802, 0.5673, 0.4147) x4  5 Cd 2.93-3.15

Material: Sr3Cd2Sn
Method: DFT, PBE
State: optimized geometry

Results
The total DFT energy (no corrections) is -27.1 eV/cell. The calculation puts the spin magnetization at 0.00 μB/cell. The calculation puts the formation energy at -0.4435 eV per atom.

a = 5.7777 Å, b = 17.4875 Å, c = 3.9683 Å
α = 90.00°, β = 90.00°, γ = 90.00°
Last column: nearest neighbours and their distance in Å.
Space group Cmmm (No. 65)
Symmetry-distinct sites (fractional):
Sr (0.0000, 0.0000, 0.0000) x2  4 Sn 3.50, 4 Cd 3.58
Sr (0.0000, 0.3358, 0.0000) x4  2 Sn 3.49, 6 Cd 3.50-3.51
Cd (0.0000, 0.1707, 0.5000) x4  8 Sr 3.50-3.58
Sn (0.0000, 0.5000, 0.5000) x2  8 Sr 3.49-3.50

Material: SrCd3Sn
Method: DFT, PBE
State: optimized geometry

Results
The total DFT energy (no corrections) is -4.7 eV/cell. Its relative energy among the computed polymorphs is 5.34 eV/f.u. The calculation puts the spin magnetization at 0.00 μB/cell. The calculation puts the formation energy at 0.7437 eV per atom.

a = 6.0277 Å, b = 6.0277 Å, c = 6.0277 Å
α = 90.00°, β = 90.00°, γ = 90.00°
Last column: nearest neighbours and their distance in Å.
Space group Pm-3m (No. 221)
Symmetry-distinct sites (fractional):
Sr (0.0000, 0.0000, 0.0000) x1  6 Cd 3.01
Cd (0.0000, 0.0000, 0.5000) x3  2 Sr 3.01
Sn (0.5000, 0.5000, 0.5000) x1  12 Cd 4.26

Material: Sr2CdSn2
Method: DFT, PBE
State: optimized geometry

Results
The total DFT energy (no corrections) is -27.9 eV/cell. Its relative energy among the computed polymorphs is 1.24 eV/f.u. The calculation puts the spin magnetization at 0.00 μB/cell. The calculation puts the formation energy at -0.3333 eV per atom.

a = 9.5276 Å, b = 9.5276 Å, c = 3.8484 Å
α = 90.00°, β = 90.00°, γ = 90.00°
Last column: nearest neighbours and their distance in Å.
Space group P4/mbm (No. 127)
Symmetry-distinct sites (fractional):
Sr (0.1872, 0.3128, 0.0000) x4  6 Sn 3.35-3.50, 2 Cd 3.47
Cd (0.0000, 0.0000, 0.0000) x2  4 Sr 3.47, 2 Cd 3.85
Sn (0.1092, 0.6092, 0.5000) x4  1 Sn 2.94

Material: Sr2CdSn2
Method: DFT, PBE
State: optimized geometry

Results
The total DFT energy (no corrections) is -60.7 eV/cell. Its relative energy among the computed polymorphs is 0.00 eV/f.u. The calculation puts the spin magnetization at 0.00 μB/cell. The calculation puts the formation energy at -0.5804 eV per atom.

a = 12.0091 Å, b = 5.0997 Å, c = 11.8592 Å
α = 90.00°, β = 118.23°, γ = 90.00°
Last column: nearest neighbours and their distance in Å.
Space group C2/m (No. 12)
Symmetry-distinct sites (fractional):
Sr (0.0116, 0.0000, 0.3307) x4  7 Sn 3.50-3.75, 4 Cd 3.50-3.65
Sr (0.1817, 0.0000, 0.1025) x4  6 Sn 3.47-3.60, 2 Cd 3.73, 1 Sr 3.86
Cd (0.2194, 0.5000, 0.3481) x4  4 Sn 2.93-3.09
Sn (0.0246, 0.5000, 0.8864) x4  1 Cd 2.93, 1 Sn 3.02
Sn (0.1400, 0.5000, 0.5606) x4  1 Sn 2.97, 3 Cd 2.97-3.09

Material: SrCd4Sn2
Method: DFT, PBE
State: optimized geometry

Results
The total DFT energy (no corrections) is -29.7 eV/cell. The calculation puts the spin magnetization at 0.00 μB/cell. The calculation puts the formation energy at -0.2172 eV per atom.

a = 4.6606 Å, b = 17.6707 Å, c = 4.6025 Å
α = 90.00°, β = 90.00°, γ = 90.00°
Last column: nearest neighbours and their distance in Å.
Space group Cmmm (No. 65)
Symmetry-distinct sites (fractional):
Sr (0.0000, 0.0000, 0.0000) x2  8 Sn 3.59
Cd (0.0000, 0.1874, 0.5000) x4  2 Sn 2.97, 8 Cd 3.12-3.28
Cd (0.0000, 0.3069, 0.0000) x4  2 Sn 3.01, 8 Cd 3.08-3.28
Sn (0.0000, 0.4165, 0.5000) x4  1 Sn 2.95, 4 Cd 2.97-3.01